Model P:
Entry from the Alexandria database: crystalline Ta2CdTe at its relaxed geometry (PBE).

Computed properties:
N(E_F) in states/eV per cell: 2.40

Cell: 5.436 5.436 4.959 Å, 70.26 70.26 36.55°
Fractional coordinates of all 4 atoms:
Cd 0.743 0.743 0.779
Te 0.515 0.515 0.465
Ta 0.983 0.983 0.997
Ta 0.259 0.259 0.258

Model Q:
Entry from the Alexandria database: crystalline Ta2CdTe at its relaxed geometry (PBE).

Computed properties:
N(E_F) in states/eV per cell: 2.21

Cell: 4.968 3.091 5.567 Å, 76.80 90.00 90.00°
Fractional coordinates of all 4 atoms:
Te 0.000 0.357 0.473
Ta 0.000 0.068 0.024
Cd 0.500 0.727 0.749
Ta 0.500 0.348 0.253

Relative energies in eV/atom: model P 0.000; model Q 0.025

Model P:
Entry from the Alexandria database: crystalline TaTlCd2 at its relaxed geometry (PBE).

Computed properties:
N(E_F) in states/eV per cell: 2.36

Cell: 5.826 5.826 5.643 Å, 63.90 63.90 30.06°
Fractional coordinates of all 4 atoms:
Cd 0.004 0.004 0.911
Cd 0.757 0.757 0.839
Ta 0.495 0.495 0.400
Tl 0.244 0.244 0.350

Model Q:
Entry from the Alexandria database: crystalline TaTlCd2 at its relaxed geometry (PBE).

Computed properties:
N(E_F) in states/eV per cell: 1.90

Cell: 6.365 6.365 6.365 Å, 151.95 132.67 55.92°
Fractional coordinates of all 4 atoms:
Cd 0.525 0.525 0.000
Ta 0.750 0.250 0.500
Tl 0.250 0.750 0.500
Cd 0.975 0.975 0.000

Relative energies in eV/atom: model P 0.000; model Q 0.027